Below is a relaxed CrO2 crystal, with properties calculated at the GGA+U level.

Output
VASP energy: -44.51 eV/cell
space group: P4_2/mnm

Cell and atoms, written as extended XYZ:
```
6
Lattice="4.4876 0.0000 0.0000 0.0000 4.4876 0.0000 0.0000 0.0000 2.9844" Properties=species:S:1:pos:R:3 pbc="T T T"
Cr 0.0000 0.0000 0.0000
Cr 2.2438 2.2438 1.4922
O 0.8893 0.8893 1.4922
O 1.3545 3.1331 0.0000
O 3.1331 1.3545 0.0000
O 3.5983 3.5983 1.4922
```